# 1
# K5TeAuO2

K5TeAuO2 after structural relaxation (PBE, Alexandria via LeMat-Bulk).

Summary:
SG: P4/mmm (123)
E_form (uncorrected): -1073.7 meV/atom
Calculated volume: 278 Å³ per cell

Geometry as CIF:
```
data_K5TeAuO2
_space_group_name_H-M_alt 'P 1'
_space_group_IT_number 1
_space_group_name_Hall 'P 1'
_cell_length_a 5.4498
_cell_length_b 5.4498
_cell_length_c 9.3673
_cell_angle_alpha 90.00
_cell_angle_beta 90.00
_cell_angle_gamma 90.00
loop_
_atom_site_label
_atom_site_fract_x
_atom_site_fract_y
_atom_site_fract_z
_atom_site_occupancy
K1 0.0000 0.0000 0.0000 1
K2 0.0000 0.5000 0.2595 1
K3 0.0000 0.5000 0.7405 1
K4 0.5000 0.0000 0.2595 1
K5 0.5000 0.0000 0.7405 1
Te1 0.5000 0.5000 0.0000 1
Au1 0.0000 0.0000 0.5000 1
O1 0.0000 0.0000 0.2830 1
O2 0.0000 0.0000 0.7170 1
```

=====

# 2
# KTe2AuO

KTe2AuO after structural relaxation (PBE, Alexandria via LeMat-Bulk).

Summary:
SG: P4/mmm (123)
E_form (uncorrected): -67.9 meV/atom
Calculated volume: 120 Å³ per cell

Geometry as CIF:
```
data_KTe2AuO
_space_group_name_H-M_alt 'P 1'
_space_group_IT_number 1
_space_group_name_Hall 'P 1'
_cell_length_a 4.9230
_cell_length_b 4.9230
_cell_length_c 4.9661
_cell_angle_alpha 90.00
_cell_angle_beta 90.00
_cell_angle_gamma 90.00
loop_
_atom_site_label
_atom_site_fract_x
_atom_site_fract_y
_atom_site_fract_z
_atom_site_occupancy
K1 0.0000 0.0000 0.0000 1
Te1 0.0000 0.5000 0.5000 1
Te2 0.5000 0.0000 0.5000 1
Au1 0.5000 0.5000 0.0000 1
O1 0.5000 0.5000 0.5000 1
```

=====

# 3
# K4Tl3AuO8

K4Tl3AuO8 after structural relaxation (PBE, Alexandria via LeMat-Bulk).

Summary:
SG: C2/m (12)
E_form (uncorrected): -942.2 meV/atom
Calculated volume: 268 Å³ per cell

Geometry as CIF:
```
data_K4Tl3AuO8
_space_group_name_H-M_alt 'P 1'
_space_group_IT_number 1
_space_group_name_Hall 'P 1'
_cell_length_a 7.3340
_cell_length_b 7.3340
_cell_length_c 7.2346
_cell_angle_alpha 118.06
_cell_angle_beta 118.06
_cell_angle_gamma 54.25
loop_
_atom_site_label
_atom_site_fract_x
_atom_site_fract_y
_atom_site_fract_z
_atom_site_occupancy
K1 0.0000 0.0000 0.0000 1
K2 0.0000 0.5000 0.0000 1
K3 0.5000 0.0000 0.0000 1
K4 0.5000 0.5000 0.0000 1
Tl1 0.0000 0.0000 0.5000 1
Tl2 0.0000 0.5000 0.5000 1
Tl3 0.5000 0.0000 0.5000 1
Au1 0.5000 0.5000 0.5000 1
O1 0.2270 0.2270 0.2780 1
O2 0.2321 0.2321 0.7000 1
O3 0.2618 0.7128 0.6814 1
O4 0.2872 0.7382 0.3186 1
O5 0.7128 0.2618 0.6814 1
O6 0.7382 0.2872 0.3186 1
O7 0.7679 0.7679 0.3000 1
O8 0.7730 0.7730 0.7220 1
```

=====

# 4
# KTlAuO2

KTlAuO2 after structural relaxation (PBE, Alexandria via LeMat-Bulk).

Summary:
SG: Cmme (67)
E_form (uncorrected): -576.3 meV/atom
Calculated volume: 236 Å³ per cell

Geometry as CIF:
```
data_KTlAuO2
_space_group_name_H-M_alt 'P 1'
_space_group_IT_number 1
_space_group_name_Hall 'P 1'
_cell_length_a 7.2740
_cell_length_b 7.2740
_cell_length_c 5.1949
_cell_angle_alpha 90.00
_cell_angle_beta 90.00
_cell_angle_gamma 120.64
loop_
_atom_site_label
_atom_site_fract_x
_atom_site_fract_y
_atom_site_fract_z
_atom_site_occupancy
K1 0.2500 0.7500 0.7970 1
K2 0.7500 0.2500 0.2030 1
Tl1 0.2500 0.2500 0.0000 1
Tl2 0.7500 0.7500 0.0000 1
Au1 0.0000 0.0000 0.5000 1
Au2 0.5000 0.5000 0.5000 1
O1 0.1029 0.8971 0.1927 1
O2 0.3971 0.6029 0.1927 1
O3 0.6029 0.3971 0.8073 1
O4 0.8971 0.1029 0.8073 1
```

=====

# 5
# K3Tl3AuO8

K3Tl3AuO8 after structural relaxation (PBE, Alexandria via LeMat-Bulk).

Summary:
SG: C2/m (12)
E_form (uncorrected): -837.3 meV/atom
Calculated volume: 257 Å³ per cell

Geometry as CIF:
```
data_K3Tl3AuO8
_space_group_name_H-M_alt 'P 1'
_space_group_IT_number 1
_space_group_name_Hall 'P 1'
_cell_length_a 6.9514
_cell_length_b 6.9514
_cell_length_c 7.4125
_cell_angle_alpha 118.21
_cell_angle_beta 118.21
_cell_angle_gamma 58.59
loop_
_atom_site_label
_atom_site_fract_x
_atom_site_fract_y
_atom_site_fract_z
_atom_site_occupancy
K1 0.0000 0.0000 0.0000 1
K2 0.0000 0.5000 0.0000 1
K3 0.5000 0.0000 0.0000 1
Tl1 0.0000 0.5000 0.5000 1
Tl2 0.5000 0.0000 0.5000 1
Tl3 0.5000 0.5000 0.5000 1
Au1 0.0000 0.0000 0.5000 1
O1 0.2070 0.7638 0.6766 1
O2 0.2362 0.7930 0.3234 1
O3 0.2382 0.2382 0.6956 1
O4 0.2704 0.2704 0.3059 1
O5 0.7296 0.7296 0.6941 1
O6 0.7618 0.7618 0.3044 1
O7 0.7638 0.2070 0.6766 1
O8 0.7930 0.2362 0.3234 1
```

=====

# 6
# K2TmAuO4

K2TmAuO4 after structural relaxation (PBE, Alexandria via LeMat-Bulk).

Summary:
SG: Fddd (70)
E_form (uncorrected): -1389.0 meV/atom
Calculated volume: 503 Å³ per cell

Geometry as CIF:
```
data_K2TmAuO4
_space_group_name_H-M_alt 'P 1'
_space_group_IT_number 1
_space_group_name_Hall 'P 1'
_cell_length_a 13.4801
_cell_length_b 11.8388
_cell_length_c 7.7811
_cell_angle_alpha 84.08
_cell_angle_beta 60.88
_cell_angle_gamma 35.04
loop_
_atom_site_label
_atom_site_fract_x
_atom_site_fract_y
_atom_site_fract_z
_atom_site_occupancy
K1 0.0715 0.0715 0.6785 1
K2 0.3215 0.3215 0.9285 1
K3 0.6785 0.6785 0.0715 1
K4 0.9285 0.9285 0.3215 1
Tm1 0.1250 0.1250 0.1250 1
Tm2 0.8750 0.8750 0.8750 1
Au1 0.3750 0.3750 0.3750 1
Au2 0.6250 0.6250 0.6250 1
O1 0.0337 0.7134 0.5175 1
O2 0.2354 0.5175 0.7134 1
O3 0.2866 0.9663 0.7646 1
O4 0.4825 0.7646 0.9663 1
O5 0.5175 0.2354 0.0337 1
O6 0.7134 0.0337 0.2354 1
O7 0.7646 0.4825 0.2866 1
O8 0.9663 0.2866 0.4825 1
```

=====

# 7
# K2Tm2AuO6

K2Tm2AuO6 after structural relaxation (PBE, Alexandria via LeMat-Bulk).

Summary:
SG: C2/m (12)
E_form (uncorrected): -2011.7 meV/atom
Calculated volume: 186 Å³ per cell

Geometry as CIF:
```
data_K2Tm2AuO6
_space_group_name_H-M_alt 'P 1'
_space_group_IT_number 1
_space_group_name_Hall 'P 1'
_cell_length_a 5.8188
_cell_length_b 5.8188
_cell_length_c 6.5985
_cell_angle_alpha 97.37
_cell_angle_beta 97.37
_cell_angle_gamma 120.64
loop_
_atom_site_label
_atom_site_fract_x
_atom_site_fract_y
_atom_site_fract_z
_atom_site_occupancy
K1 0.1600 0.8400 0.0000 1
K2 0.8400 0.1600 0.0000 1
Tm1 0.3334 0.6666 0.5000 1
Tm2 0.6666 0.3334 0.5000 1
Au1 0.0000 0.0000 0.5000 1
O1 0.0498 0.3910 0.6819 1
O2 0.2570 0.2570 0.3323 1
O3 0.3910 0.0498 0.6819 1
O4 0.6090 0.9502 0.3181 1
O5 0.7430 0.7430 0.6677 1
O6 0.9502 0.6090 0.3181 1
```

=====

# 8
# KUAuO5

KUAuO5 after structural relaxation (PBE, Alexandria via LeMat-Bulk).

Summary:
SG: C2/c (15)
E_form (uncorrected): -1813.3 meV/atom
Calculated volume: 255 Å³ per cell

Geometry as CIF:
```
data_KUAuO5
_space_group_name_H-M_alt 'P 1'
_space_group_IT_number 1
_space_group_name_Hall 'P 1'
_cell_length_a 6.0785
_cell_length_b 6.0785
_cell_length_c 8.1480
_cell_angle_alpha 98.68
_cell_angle_beta 98.68
_cell_angle_gamma 117.53
loop_
_atom_site_label
_atom_site_fract_x
_atom_site_fract_y
_atom_site_fract_z
_atom_site_occupancy
K1 0.1851 0.8149 0.7500 1
K2 0.8149 0.1851 0.2500 1
U1 0.5000 0.5000 0.0000 1
U2 0.5000 0.5000 0.5000 1
Au1 0.1680 0.8320 0.2500 1
Au2 0.8320 0.1680 0.7500 1
O1 0.1331 0.1868 0.9190 1
O2 0.1868 0.1331 0.4190 1
O3 0.3052 0.6866 0.4263 1
O4 0.3134 0.6948 0.0737 1
O5 0.4398 0.5602 0.7500 1
O6 0.5602 0.4398 0.2500 1
O7 0.6866 0.3052 0.9263 1
O8 0.6948 0.3134 0.5737 1
O9 0.8132 0.8669 0.5810 1
O10 0.8669 0.8132 0.0810 1
```